DFT (PBE-GGA) results for GdZn after structural relaxation.

Values from the calculation:
The value obtained for the relative energy among the computed polymorphs is 35 kJ/mol of formula units. The formation energy comes out at -0.16 eV/atom.

Unit cell a=5.032 b=6.625 c=10.995 alpha=90.00 beta=90.00 gamma=90.00
Positions (direct):
Gd: 0.250 0.015 0.089
Gd: 0.250 0.250 0.371
Gd: 0.250 0.250 0.780
Gd: 0.250 0.485 0.089
Gd: 0.750 0.515 0.911
Gd: 0.750 0.750 0.220
Gd: 0.750 0.750 0.629
Gd: 0.750 0.985 0.911
Zn: 0.250 0.530 0.579
Zn: 0.250 0.750 0.374
Zn: 0.250 0.750 0.811
Zn: 0.250 0.970 0.579
Zn: 0.750 0.030 0.421
Zn: 0.750 0.250 0.189
Zn: 0.750 0.250 0.626
Zn: 0.750 0.470 0.421

---

DFT (PBE-GGA) results for SrReAsO after structural relaxation.

Values from the calculation:
The value obtained for the relative energy among the computed polymorphs is 59 kJ/mol of formula units.

Unit cell a=4.114 b=6.849 c=5.864 alpha=90.00 beta=90.00 gamma=90.00
Positions (direct):
Sr: 0.000 0.158 0.000
Sr: 0.000 0.842 0.500
Re: 0.500 0.438 0.679
Re: 0.500 0.562 0.179
As: 0.000 0.314 0.496
As: 0.000 0.686 0.996
O: 0.500 0.316 0.993
O: 0.500 0.684 0.493

---

DFT (PBE-GGA) results for PaTlIr after structural relaxation.

Values from the calculation:
The value obtained for the relative energy among the computed polymorphs is 0 kJ/mol of formula units.

Unit cell a=4.717 b=4.717 c=4.717 alpha=60.00 beta=60.00 gamma=60.00
Positions (direct):
Pa: 0.000 0.000 0.000
Tl: 0.500 0.500 0.500
Ir: 0.750 0.750 0.750

---

DFT (PBE-GGA) results for ZrOs after structural relaxation.

Values from the calculation:
The formation energy comes out at -0.06 eV/atom.

Unit cell a=4.612 b=8.244 c=8.244 alpha=144.79 beta=90.00 gamma=90.00
Positions (direct):
Zr: 0.000 0.000 0.000
Zr: 0.000 0.109 0.728
Zr: 0.000 0.728 0.109
Zr: 0.500 0.203 0.562
Zr: 0.500 0.562 0.203
Os: 0.000 0.403 0.584
Os: 0.000 0.584 0.403
Os: 0.500 0.355 0.355
Os: 0.500 0.784 0.974
Os: 0.500 0.974 0.784

---

| no. | raw total energy (Ha/atom) |
| --- | --- |
| 1 | -0.1145 |
| 2 | -0.2478 |
| 3 | -0.2624 |
| 4 | -0.3657 |